1.
This record from Alexandria describes BaSrAs2 after structural relaxation. The functional is PBE.

```
BaSrAs2
1.0
3.731 -0.004 0.006
0.004 3.731 0.006
3.725 3.717 8.604
As Sr Ba
2 1 1
direct
0.988 0.988 0.011
0.512 0.512 0.489
0.250 0.250 0.250
0.750 0.750 0.750
```

Computed properties:
Magnetic moment = 0.00 μB per formula unit
Energy above the lowest structure with this stoichiometry = 0.1478 eV/atom
SG = P4/mmm, No. 123
Calculated formation energy = -0.83 eV per atom

2.
This record from Alexandria describes Tm2Sc3Si4 after structural relaxation. The functional is PBE.

```
Tm2Sc3Si4
1.0
7.037 0.000 0.000
0.000 7.344 0.000
0.000 0.000 13.884
Si Tm Sc
16 8 12
direct
0.533 0.388 0.750
0.159 0.465 0.539
0.714 0.130 0.250
0.841 0.535 0.039
0.033 0.112 0.750
0.341 0.965 0.461
0.659 0.035 0.539
0.967 0.888 0.250
0.286 0.870 0.750
0.841 0.535 0.461
0.214 0.370 0.250
0.467 0.612 0.250
0.786 0.630 0.750
0.159 0.465 0.961
0.341 0.965 0.039
0.659 0.035 0.961
0.511 0.323 0.404
0.011 0.177 0.096
0.011 0.177 0.404
0.489 0.677 0.596
0.489 0.677 0.904
0.989 0.823 0.596
0.989 0.823 0.904
0.511 0.323 0.096
0.170 0.677 0.125
0.337 0.004 0.250
0.330 0.177 0.625
0.670 0.823 0.375
0.170 0.677 0.375
0.663 0.996 0.750
0.670 0.823 0.125
0.163 0.504 0.750
0.830 0.323 0.625
0.330 0.177 0.875
0.830 0.323 0.875
0.837 0.496 0.250
```

Computed properties:
Magnetic moment = 0.00 μB per formula unit
Raw formation energy = -0.82 eV/atom
Energy above the lowest structure with this stoichiometry = 0.0000 eV/atom
SG = Pnma, No. 62

3.
This record from Alexandria describes VTeBr3 after structural relaxation. The functional is PBE.

```
VTeBr3
1.0
5.199 0.000 0.000
0.000 5.199 0.000
0.000 0.000 5.199
Br Te V
3 1 1
direct
0.000 0.000 0.500
0.500 0.000 0.000
0.000 0.500 0.000
0.500 0.500 0.500
0.000 0.000 0.000
```

Computed properties:
Magnetic moment = 4.52 μB per formula unit
Raw formation energy = -0.09 eV/atom
SG = Pm-3m, No. 221

4.
This record from Alexandria describes NdUTc2 after structural relaxation. The functional is PBE.

```
NdUTc2
1.0
5.227 0.000 0.000
0.000 6.296 0.000
0.000 0.000 10.267
Tc U Nd
8 4 4
direct
0.250 0.408 0.640
0.750 0.732 0.960
0.750 0.092 0.140
0.250 0.268 0.040
0.750 0.232 0.540
0.750 0.592 0.360
0.250 0.908 0.860
0.250 0.768 0.460
0.750 0.990 0.374
0.750 0.490 0.126
0.250 0.010 0.626
0.250 0.510 0.874
0.250 0.804 0.160
0.750 0.696 0.660
0.250 0.304 0.340
0.750 0.196 0.840
```

Computed properties:
Magnetic moment = 0.00 μB per formula unit
Energy above the lowest structure with this stoichiometry = 0.0000 eV/atom
SG = Pnma, No. 62
Calculated formation energy = -0.07 eV per atom

5.
This record from Alexandria describes AcLaDy2In4 after structural relaxation. The functional is PBE.

```
AcLaDy2In4
1.0
-0.365 5.369 -1.195
-3.029 3.331 3.180
6.095 4.540 5.826
In Dy Ac La
4 2 1 1
direct
0.377 0.377 0.870
0.623 0.623 0.130
0.127 0.127 0.620
0.873 0.873 0.380
0.750 0.750 0.750
0.250 0.250 0.250
0.000 0.000 0.000
0.500 0.500 0.500
```

Computed properties:
Magnetic moment = 0.00 μB per formula unit
SG = R-3m, No. 166
Calculated formation energy = -0.45 eV per atom

6.
This record from Alexandria describes ScRu2 after structural relaxation. The functional is PBE.

```
ScRu2
1.0
6.058 0.000 0.000
0.000 6.058 0.000
0.000 0.000 6.058
Ru Sc
8 4
direct
0.883 0.383 0.117
0.617 0.617 0.617
0.117 0.883 0.383
0.883 0.117 0.617
0.117 0.617 0.883
0.383 0.383 0.383
0.383 0.117 0.883
0.617 0.883 0.117
0.500 0.000 0.500
0.500 0.500 0.000
0.000 0.000 0.000
0.000 0.500 0.500
```

Computed properties:
Magnetic moment = 1.33 μB per formula unit
SG = Pa-3, No. 205
Calculated formation energy = 0.98 eV per atom

7.
This record from Alexandria describes Hf5InHg2 after structural relaxation. The functional is PBE.

```
Hf5InHg2
1.0
-3.347 -1.641 -2.347
2.634 -0.345 -3.514
2.615 -7.185 5.427
Hf Hg In
5 2 1
direct
0.500 0.500 0.000
0.874 0.374 0.747
0.374 0.874 0.747
0.626 0.126 0.253
0.126 0.626 0.253
0.752 0.752 0.503
0.248 0.248 0.497
0.000 0.000 0.000
```

Computed properties:
Magnetic moment = 0.00 μB per formula unit
SG = I4/mmm, No. 139
Calculated formation energy = -0.10 eV per atom

8.
This record from Alexandria describes CsRb2BaBr after structural relaxation. The functional is PBE.

```
CsRb2BaBr
1.0
7.532 0.000 0.000
0.000 7.532 0.000
0.000 0.000 6.491
Rb Br Cs Ba
2 1 1 1
direct
0.000 0.500 0.000
0.500 0.000 0.000
0.000 0.000 0.000
0.500 0.500 0.500
0.000 0.000 0.500
```

Computed properties:
Magnetic moment = 0.00 μB per formula unit
Raw formation energy = -0.54 eV/atom
SG = P4/mmm, No. 123

9.
This record from Alexandria describes SrTeP after structural relaxation. The functional is PBE.

```
SrTeP
1.0
1.730 1.295 4.740
1.708 4.834 0.919
-2.786 3.221 3.000
Sr P Te
1 1 1
direct
0.250 0.250 0.250
0.500 0.500 0.500
0.000 0.000 0.000
```

Computed properties:
Magnetic moment = 0.00 μB per formula unit
Raw formation energy = -0.20 eV/atom
SG = F-43m, No. 216

10.
This record from Alexandria describes MnC2Cl after structural relaxation. The functional is PBE.

```
MnC2Cl
1.0
5.026 0.000 0.000
0.000 5.026 0.000
2.513 2.513 4.526
C Cl Mn
4 2 2
direct
0.375 0.244 0.750
0.756 0.125 0.250
0.875 0.006 0.750
0.994 0.625 0.250
0.250 0.750 0.500
0.500 0.500 0.000
0.750 0.250 0.500
0.000 0.000 0.000
```

Computed properties:
Magnetic moment = 0.00 μB per formula unit
Raw formation energy = 1.40 eV/atom
Energy above the lowest structure with this stoichiometry = 0.0000 eV/atom
SG = I-42d, No. 122

11.
This record from Alexandria describes MoPd3Se after structural relaxation. The functional is PBE.

```
MoPd3Se
1.0
4.804 0.000 0.000
0.000 4.804 0.000
0.000 0.000 4.804
Mo Pd Se
1 3 1
direct
0.000 0.000 0.000
0.000 0.000 0.500
0.000 0.500 0.000
0.500 0.000 0.000
0.500 0.500 0.500
```

Computed properties:
Magnetic moment = 0.00 μB per formula unit
Raw formation energy = 1.17 eV/atom
Energy above the lowest structure with this stoichiometry = 0.5050 eV/atom
SG = Pm-3m, No. 221

12.
This record from Alexandria describes NaTl4Bi5 after structural relaxation. The functional is PBE.

```
NaTl4Bi5
1.0
3.414 0.000 0.000
0.000 3.414 0.000
0.000 0.000 26.857
Bi Tl Na
5 4 1
direct
0.500 0.500 0.702
0.500 0.500 0.907
0.500 0.500 0.500
0.500 0.500 0.093
0.500 0.500 0.298
0.000 0.000 0.399
0.000 0.000 0.196
0.000 0.000 0.804
0.000 0.000 0.601
0.000 0.000 0.000
```

Computed properties:
Magnetic moment = 0.00 μB per formula unit
SG = P4/mmm, No. 123
Calculated formation energy = -0.06 eV per atom

13.
This record from Alexandria describes MgTi after structural relaxation. The functional is PBE.

```
MgTi
1.0
8.906 0.000 0.000
0.000 8.906 0.000
0.000 0.000 8.906
Ti Mg
8 8
direct
0.899 0.101 0.101
0.399 0.399 0.399
0.899 0.899 0.899
0.101 0.101 0.899
0.601 0.601 0.399
0.101 0.899 0.101
0.399 0.601 0.601
0.601 0.399 0.601
0.798 0.798 0.202
0.298 0.702 0.298
0.202 0.202 0.202
0.702 0.702 0.702
0.702 0.298 0.298
0.202 0.798 0.798
0.798 0.202 0.798
0.298 0.298 0.702
```

Computed properties:
Magnetic moment = 1.14 μB per formula unit
SG = I-43m, No. 217
Calculated formation energy = 1.22 eV per atom

14.
This record from Alexandria describes Na5Tl6Ga after structural relaxation. The functional is PBE.

```
Na5Tl6Ga
1.0
4.716 -0.026 1.533
0.042 8.727 0.014
-0.117 -0.012 8.024
Tl Na Ga
6 5 1
direct
0.839 0.241 0.319
0.500 0.233 0.000
0.839 0.759 0.319
0.161 0.241 0.681
0.500 0.767 0.000
0.161 0.759 0.681
0.000 0.500 0.000
0.332 0.000 0.331
0.668 0.000 0.669
0.332 0.500 0.333
0.668 0.500 0.667
0.000 0.000 0.000
```

Computed properties:
Magnetic moment = 0.00 μB per formula unit
SG = P2/m, No. 10
Calculated formation energy = -0.09 eV per atom

15.
This record from Alexandria describes Ca5H2Pb2 after structural relaxation. The functional is PBE.

```
Ca5H2Pb2
1.0
5.173 0.000 0.000
-2.586 6.177 -0.145
0.000 -1.109 7.095
Ca H Pb
5 2 2
direct
0.317 0.634 0.132
0.147 0.294 0.547
0.683 0.366 0.868
0.000 0.000 0.000
0.853 0.706 0.453
0.838 0.676 0.118
0.162 0.324 0.882
0.410 0.819 0.712
0.590 0.181 0.288
```

Computed properties:
Magnetic moment = 0.00 μB per formula unit
SG = C2/m, No. 12
VASP energy = -3.133 eV per atom

16.
This record from Alexandria describes Zr2GaHg after structural relaxation. The functional is PBE.

```
Zr2GaHg
1.0
-1.047 4.144 6.456
-6.668 2.731 -2.834
-5.294 1.187 3.023
Hg Zr Ga
2 4 2
direct
0.750 0.250 0.500
0.000 0.000 0.000
0.375 0.385 0.750
0.875 0.865 0.750
0.615 0.125 0.250
0.135 0.625 0.250
0.500 0.500 0.000
0.250 0.750 0.500
```

Computed properties:
Magnetic moment = 0.00 μB per formula unit
SG = I-42d, No. 122
Calculated formation energy = -0.03 eV per atom

17.
This record from Alexandria describes InSn2Pd6 after structural relaxation. The functional is PBE.

```
InSn2Pd6
1.0
4.629 0.000 -0.181
0.000 7.419 0.000
-2.125 -3.710 4.919
Pd In Sn
6 1 2
direct
0.500 0.794 0.000
0.832 0.132 0.663
0.500 0.206 0.000
0.168 0.469 0.337
0.168 0.868 0.337
0.832 0.531 0.663
0.000 0.000 0.000
0.669 0.669 0.337
0.331 0.331 0.663
```

Computed properties:
Magnetic moment = 0.00 μB per formula unit
SG = Immm, No. 71
Calculated formation energy = -0.40 eV per atom

18.
This record from Alexandria describes GeSbH2Au after structural relaxation. The functional is PBE.

```
GeSbH2Au
1.0
-0.199 2.580 -2.858
2.886 -3.323 -3.201
-3.262 -1.632 -1.247
Ge H Sb Au
1 2 1 1
direct
0.000 0.500 0.000
0.500 0.000 0.000
0.000 0.000 0.500
0.500 0.500 0.500
0.000 0.000 0.000
```

Computed properties:
Magnetic moment = 0.11 μB per formula unit
SG = P4/mmm, No. 123
VASP energy = -3.347 eV per atom

19.
This record from Alexandria describes FeAs2Ir after structural relaxation. The functional is PBE.

```
FeAs2Ir
1.0
1.185 -1.132 4.047
-3.001 -0.263 3.161
-1.149 -3.896 1.602
As Ir Fe
2 1 1
direct
0.250 0.250 0.250
0.750 0.750 0.750
0.500 0.500 0.500
0.000 0.000 0.000
```

Computed properties:
Magnetic moment = 2.53 μB per formula unit
Energy above the lowest structure with this stoichiometry = 0.1150 eV/atom
SG = Fm-3m, No. 225
Calculated formation energy = 0.12 eV per atom

20.
This record from Alexandria describes AcS2F2 after structural relaxation. The functional is PBE.

```
AcS2F2
1.0
-5.288 -4.432 -3.541
-2.343 -6.916 3.662
-4.706 0.491 0.685
S Ac F
4 2 4
direct
0.748 0.000 0.602
0.162 0.000 0.081
0.252 0.000 0.398
0.838 0.000 0.919
0.184 0.631 0.500
0.816 0.369 0.500
0.012 0.572 0.209
0.585 0.428 0.209
0.415 0.572 0.791
0.988 0.428 0.791
```

Computed properties:
Magnetic moment = 0.00 μB per formula unit
Raw formation energy = -2.47 eV/atom
SG = C2/m, No. 12

21.
This record from Alexandria describes AsPO5 after structural relaxation. The functional is PBE.

```
AsPO5
1.0
-1.731 4.437 1.917
-3.804 -3.206 1.271
5.130 -1.717 3.853
O P As
10 2 2
direct
0.129 0.752 0.413
0.187 0.113 0.879
0.388 0.313 0.621
0.411 0.089 0.250
0.871 0.248 0.587
0.612 0.687 0.379
0.251 0.629 0.912
0.589 0.911 0.750
0.813 0.887 0.121
0.749 0.371 0.088
0.825 0.675 0.250
0.175 0.325 0.750
0.500 0.000 0.000
0.500 0.000 0.500
```

Computed properties:
Magnetic moment = 0.00 μB per formula unit
Raw formation energy = -1.55 eV/atom
SG = C2/c, No. 15

22.
This record from Alexandria describes Ac8Nd5Sm after structural relaxation. The functional is PBE.

```
Ac8Nd5Sm
1.0
0.805 5.336 -7.462
1.051 -8.910 -1.674
-8.407 2.394 2.893
Nd Ac Sm
5 8 1
direct
0.574 0.000 0.574
0.977 0.253 0.104
0.856 0.954 0.268
0.851 0.747 0.724
0.313 0.046 0.901
0.539 0.789 0.857
0.071 0.758 0.422
0.705 0.449 0.935
0.487 0.551 0.256
0.218 0.747 0.079
0.068 0.211 0.750
0.332 0.253 0.470
0.664 0.242 0.313
0.095 0.500 0.595
```

Computed properties:
Magnetic moment = 0.00 μB per formula unit
SG = C2, No. 5
Calculated formation energy = 0.18 eV per atom